1.
DFT (PBE-GGA) results for an optimized crystal structure of Cs3TbAg2Br8. Values from VASP.

Uncorrected formation energy: -1.3899 eV/atom
Theoretical density: 4.0 g cm⁻³
Total energy: -3.27 eV/atom
Total magnetic moment: 0.00 μB per formula unit

Structure (Quantum ESPRESSO input):
```
&SYSTEM
  ibrav = 0, nat = 14, ntyp = 4
/
ATOMIC_SPECIES
Cs 132.91 Cs.upf
Tb 158.93 Tb.upf
Ag 107.87 Ag.upf
Br 79.90 Br.upf
CELL_PARAMETERS angstrom
7.9692 0.0000 0.0000
-3.9846 6.9015 0.0000
0.0000 0.0000 10.5891
ATOMIC_POSITIONS crystal
Cs 0.0000 0.0000 0.0000
Cs 0.3333 0.6667 0.6310
Cs 0.6667 0.3333 0.3690
Tb 0.0000 0.0000 0.5000
Ag 0.3333 0.6667 0.1952
Ag 0.6667 0.3333 0.8048
Br 0.1634 0.3269 0.3419
Br 0.1634 0.8366 0.3419
Br 0.3269 0.1634 0.6581
Br 0.3333 0.6667 0.9563
Br 0.6667 0.3333 0.0437
Br 0.6731 0.8366 0.3419
Br 0.8366 0.1634 0.6581
Br 0.8366 0.6731 0.6581
```



2.
DFT (PBE-GGA) results for an optimized crystal structure of CsTbAg2Br6. Values from VASP.

Uncorrected formation energy: -1.2222 eV/atom
Theoretical density: 4.4 g cm⁻³
Total energy: -3.34 eV/atom
Total magnetic moment: 0.00 μB per formula unit

Structure (Quantum ESPRESSO input):
```
&SYSTEM
  ibrav = 0, nat = 10, ntyp = 4
/
ATOMIC_SPECIES
Cs 132.91 Cs.upf
Tb 158.93 Tb.upf
Ag 107.87 Ag.upf
Br 79.90 Br.upf
CELL_PARAMETERS angstrom
3.9432 2.2766 6.9118
-3.9432 2.2766 6.9118
0.0000 -4.5532 6.9118
ATOMIC_POSITIONS crystal
Cs 0.0000 0.0000 0.0000
Tb 0.5033 0.5033 0.5033
Ag 0.3020 0.3020 0.3020
Ag 0.7533 0.7533 0.7533
Br 0.1132 0.4659 0.6494
Br 0.2872 0.8968 0.5206
Br 0.4659 0.6494 0.1132
Br 0.5206 0.2872 0.8968
Br 0.6494 0.1132 0.4659
Br 0.8968 0.5206 0.2872
```



3.
DFT (PBE-GGA) results for an optimized crystal structure of CsTbAgBr5. Values from VASP.

Uncorrected formation energy: -1.4880 eV/atom
Theoretical density: 4.2 g cm⁻³
Total energy: -3.58 eV/atom
Total magnetic moment: 0.00 μB per formula unit

Structure (Quantum ESPRESSO input):
```
&SYSTEM
  ibrav = 0, nat = 16, ntyp = 4
/
ATOMIC_SPECIES
Cs 132.91 Cs.upf
Tb 158.93 Tb.upf
Ag 107.87 Ag.upf
Br 79.90 Br.upf
CELL_PARAMETERS angstrom
4.7726 -6.6119 0.0000
4.7726 6.6119 0.0000
-3.8755 0.0000 10.1092
ATOMIC_POSITIONS crystal
Cs 0.1566 0.8434 0.7500
Cs 0.8434 0.1566 0.2500
Tb 0.5000 0.5000 0.0000
Tb 0.5000 0.5000 0.5000
Ag 0.1885 0.8115 0.2500
Ag 0.8115 0.1885 0.7500
Br 0.1366 0.2627 0.9346
Br 0.2047 0.5993 0.4115
Br 0.2627 0.1366 0.4346
Br 0.4007 0.7953 0.0885
Br 0.4353 0.5647 0.7500
Br 0.5647 0.4353 0.2500
Br 0.5993 0.2047 0.9115
Br 0.7373 0.8634 0.5654
Br 0.7953 0.4007 0.5885
Br 0.8634 0.7373 0.0654
```



4.
DFT (PBE-GGA) results for an optimized crystal structure of CsTb2AgBr8. Values from VASP.

Uncorrected formation energy: -1.5787 eV/atom
Theoretical density: 4.0 g cm⁻³
Total energy: -3.77 eV/atom
Total magnetic moment: 0.00 μB per formula unit

Structure (Quantum ESPRESSO input):
```
&SYSTEM
  ibrav = 0, nat = 12, ntyp = 4
/
ATOMIC_SPECIES
Cs 132.91 Cs.upf
Tb 158.93 Tb.upf
Ag 107.87 Ag.upf
Br 79.90 Br.upf
CELL_PARAMETERS angstrom
7.0881 0.0000 0.0000
-1.4359 8.4425 0.0000
-2.4773 -2.3789 8.3230
ATOMIC_POSITIONS crystal
Cs 0.0000 0.0000 0.0000
Tb 0.0405 0.7516 0.4944
Tb 0.9595 0.2484 0.5056
Ag 0.0000 0.5000 0.0000
Br 0.1886 0.3422 0.8470
Br 0.2090 0.4774 0.4076
Br 0.2283 0.0503 0.4375
Br 0.3263 0.8457 0.7852
Br 0.6737 0.1543 0.2148
Br 0.7717 0.9497 0.5625
Br 0.7910 0.5226 0.5924
Br 0.8114 0.6578 0.1530
```



5.
DFT (PBE-GGA) results for an optimized crystal structure of Cs2TbAg2Br6. Values from VASP.

Uncorrected formation energy: -1.2691 eV/atom
Theoretical density: 4.2 g cm⁻³
Total energy: -3.28 eV/atom
Total magnetic moment: 0.96 μB per formula unit

Structure (Quantum ESPRESSO input):
```
&SYSTEM
  ibrav = 0, nat = 11, ntyp = 4
/
ATOMIC_SPECIES
Cs 132.91 Cs.upf
Tb 158.93 Tb.upf
Ag 107.87 Ag.upf
Br 79.90 Br.upf
CELL_PARAMETERS angstrom
7.0294 -4.0900 0.0000
7.0294 4.0900 0.0000
-4.8709 0.0000 7.7686
ATOMIC_POSITIONS crystal
Cs 0.2127 0.2127 0.1833
Cs 0.7873 0.7873 0.8167
Tb 0.0000 0.0000 0.5000
Ag 0.4530 0.4530 0.8261
Ag 0.5470 0.5470 0.1739
Br 0.1806 0.7088 0.2400
Br 0.2249 0.2249 0.5877
Br 0.2912 0.8194 0.7600
Br 0.7088 0.1806 0.2400
Br 0.7751 0.7751 0.4123
Br 0.8194 0.2912 0.7600
```



6.
DFT (PBE-GGA) results for an optimized crystal structure of CsTcAgBr6. Values from VASP.

Uncorrected formation energy: -0.6980 eV/atom
Theoretical density: 3.8 g cm⁻³
Total energy: -3.38 eV/atom
Total magnetic moment: 2.90 μB per formula unit

Structure (Quantum ESPRESSO input):
```
&SYSTEM
  ibrav = 0, nat = 9, ntyp = 4
/
ATOMIC_SPECIES
Cs 132.91 Cs.upf
Tc 98.00 Tc.upf
Ag 107.87 Ag.upf
Br 79.90 Br.upf
CELL_PARAMETERS angstrom
7.2274 0.0000 0.0000
-3.6137 6.2591 0.0000
0.0000 0.0000 7.8988
ATOMIC_POSITIONS crystal
Cs 0.0000 0.0000 0.0000
Tc 0.3333 0.6667 0.5000
Ag 0.6667 0.3333 0.5000
Br 0.0374 0.3911 0.3137
Br 0.0374 0.6463 0.6863
Br 0.3537 0.3911 0.6863
Br 0.3537 0.9626 0.3137
Br 0.6089 0.6463 0.3137
Br 0.6089 0.9626 0.6863
```



7.
DFT (PBE-GGA) results for an optimized crystal structure of CsTcAg2Br8. Values from VASP.

Uncorrected formation energy: -0.5827 eV/atom
Theoretical density: 4.2 g cm⁻³
Total energy: -3.11 eV/atom
Total magnetic moment: 2.97 μB per formula unit

Structure (Quantum ESPRESSO input):
```
&SYSTEM
  ibrav = 0, nat = 12, ntyp = 4
/
ATOMIC_SPECIES
Cs 132.91 Cs.upf
Tc 98.00 Tc.upf
Ag 107.87 Ag.upf
Br 79.90 Br.upf
CELL_PARAMETERS angstrom
6.7643 0.0000 0.0000
0.1407 7.1809 0.0000
1.1201 2.0290 8.8781
ATOMIC_POSITIONS crystal
Cs 0.0000 0.0000 0.0000
Tc 0.0000 0.5000 0.5000
Ag 0.4392 0.4979 0.2065
Ag 0.5608 0.5021 0.7935
Br 0.1336 0.5054 0.7471
Br 0.2471 0.7582 0.3607
Br 0.2512 0.2484 0.4525
Br 0.4916 0.2262 0.0450
Br 0.5084 0.7738 0.9550
Br 0.7488 0.7516 0.5475
Br 0.7529 0.2418 0.6393
Br 0.8664 0.4946 0.2529
```



8.
DFT (PBE-GGA) results for an optimized crystal structure of CsAg2TeBr8. Values from VASP.

Uncorrected formation energy: -0.5259 eV/atom
Theoretical density: 4.4 g cm⁻³
Total energy: -2.45 eV/atom
Total magnetic moment: 0.00 μB per formula unit

Structure (Quantum ESPRESSO input):
```
&SYSTEM
  ibrav = 0, nat = 12, ntyp = 4
/
ATOMIC_SPECIES
Cs 132.91 Cs.upf
Ag 107.87 Ag.upf
Te 127.60 Te.upf
Br 79.90 Br.upf
CELL_PARAMETERS angstrom
6.1250 0.0000 0.0000
0.1314 7.1240 0.0000
2.5511 0.7036 9.6514
ATOMIC_POSITIONS crystal
Cs 0.0000 0.0000 0.0000
Ag 0.1618 0.5252 0.2915
Ag 0.8382 0.4748 0.7085
Te 0.5000 0.0000 0.5000
Br 0.1755 0.7892 0.6794
Br 0.2343 0.3248 0.5209
Br 0.2442 0.4997 0.0180
Br 0.3805 0.8783 0.2711
Br 0.6195 0.1217 0.7289
Br 0.7558 0.5003 0.9820
Br 0.7657 0.6752 0.4791
Br 0.8245 0.2108 0.3206
```



Repeat the eighth record exactly.
DFT (PBE-GGA) results for an optimized crystal structure of CsAg2TeBr8. Values from VASP.

Uncorrected formation energy: -0.5259 eV/atom
Theoretical density: 4.4 g cm⁻³
Total energy: -2.45 eV/atom
Total magnetic moment: 0.00 μB per formula unit

Structure (Quantum ESPRESSO input):
```
&SYSTEM
  ibrav = 0, nat = 12, ntyp = 4
/
ATOMIC_SPECIES
Cs 132.91 Cs.upf
Ag 107.87 Ag.upf
Te 127.60 Te.upf
Br 79.90 Br.upf
CELL_PARAMETERS angstrom
6.1250 0.0000 0.0000
0.1314 7.1240 0.0000
2.5511 0.7036 9.6514
ATOMIC_POSITIONS crystal
Cs 0.0000 0.0000 0.0000
Ag 0.1618 0.5252 0.2915
Ag 0.8382 0.4748 0.7085
Te 0.5000 0.0000 0.5000
Br 0.1755 0.7892 0.6794
Br 0.2343 0.3248 0.5209
Br 0.2442 0.4997 0.0180
Br 0.3805 0.8783 0.2711
Br 0.6195 0.1217 0.7289
Br 0.7558 0.5003 0.9820
Br 0.7657 0.6752 0.4791
Br 0.8245 0.2108 0.3206
```